[1]
Density functional theory data (PBE) for a relaxed La2Al4Ir3Au crystal. Values from VASP.

Geometry as Quantum ESPRESSO input:
```
&SYSTEM
  ibrav = 0, nat = 10, ntyp = 4
/
ATOMIC_SPECIES
Ir 192.22 Ir.upf
La 138.91 La.upf
Au 196.97 Au.upf
Al 26.98 Al.upf
ATOMIC_POSITIONS angstrom
Ir 8.464 4.022 1.503
Ir 1.680 -0.938 1.689
Ir 5.139 1.394 0.091
La 2.069 2.287 1.390
La 8.076 0.797 1.803
Au 5.005 1.690 3.102
Al 4.130 -0.274 1.733
Al 0.000 0.000 0.000
Al 6.014 3.357 1.460
Al -0.133 0.295 3.011
CELL_PARAMETERS angstrom
-0.917 3.203 2.691
0.650 -2.612 3.331
10.278 2.788 0.182
```

Summary:
Its space group is P-4m2, No. 115. As for the calculated total energy: -6.2796 eV/atom. The calculation puts the energy of formation from the pure elements at -8.11 eV/f.u.

[2]
Density functional theory data (PBE) for a relaxed MnSiBrN2 crystal. Values from VASP.

Geometry as Quantum ESPRESSO input:
```
&SYSTEM
  ibrav = 0, nat = 5, ntyp = 4
/
ATOMIC_SPECIES
Si 28.09 Si.upf
Br 79.90 Br.upf
N 14.01 N.upf
Mn 54.94 Mn.upf
ATOMIC_POSITIONS angstrom
Si 2.081 1.823 2.310
Br 0.000 0.000 0.000
N -0.239 -0.085 1.940
N 0.028 1.955 0.090
Mn 2.292 -0.046 0.280
CELL_PARAMETERS angstrom
-0.477 -0.171 3.881
4.583 -0.092 0.560
0.056 3.909 0.179
```

Summary:
Its space group is P4/mmm, No. 123. As for the calculated total energy: -4.0802 eV/atom.

[3]
Density functional theory data (PBE) for a relaxed Ac8CuIr3 crystal. Values from VASP.

Geometry as Quantum ESPRESSO input:
```
&SYSTEM
  ibrav = 0, nat = 12, ntyp = 3
/
ATOMIC_SPECIES
Ac 227.00 Ac.upf
Ir 192.22 Ir.upf
Cu 63.55 Cu.upf
ATOMIC_POSITIONS angstrom
Ac 6.581 -0.148 6.468
Ac 2.301 -0.148 6.468
Ac 4.441 2.908 4.372
Ac 4.441 3.008 -0.150
Ac -2.140 6.135 -2.311
Ac 0.000 2.979 4.308
Ac 0.000 3.079 -0.215
Ac 2.140 6.135 -2.311
Ir -2.220 3.170 -2.179
Ir 2.220 3.170 -2.179
Ir 4.441 0.000 0.000
Cu 0.000 0.000 0.000
CELL_PARAMETERS angstrom
8.882 0.000 0.000
-4.441 6.341 -4.358
0.000 -0.354 8.516
```

Summary:
Its space group is C2/m, No. 12. As for the calculated total energy: -5.7456 eV/atom. The calculation puts the energy of formation from the pure elements at -5.40 eV/f.u.

[4]
Density functional theory data (PBE) for a relaxed Ac4Pb2SN2 crystal. Values from VASP.

Geometry as Quantum ESPRESSO input:
```
&SYSTEM
  ibrav = 0, nat = 9, ntyp = 4
/
ATOMIC_SPECIES
Pb 207.20 Pb.upf
Ac 227.00 Ac.upf
N 14.01 N.upf
S 32.06 S.upf
ATOMIC_POSITIONS angstrom
Pb 2.172 5.074 3.584
Pb -2.122 2.071 3.326
Ac -1.994 5.663 4.890
Ac 2.044 1.482 2.020
Ac 5.206 2.969 3.934
Ac -5.156 4.176 2.976
N 4.513 1.684 2.075
N -4.463 5.461 4.836
S 0.000 0.000 0.000
CELL_PARAMETERS angstrom
-0.236 3.512 -2.338
-6.919 2.885 5.033
7.204 0.748 4.215
```

Summary:
Its space group is C2/m, No. 12. As for the calculated total energy: -6.0710 eV/atom.

[5]
Density functional theory data (PBE) for a relaxed Ca2AcRhO6 crystal. Values from VASP.

Geometry as Quantum ESPRESSO input:
```
&SYSTEM
  ibrav = 0, nat = 20, ntyp = 4
/
ATOMIC_SPECIES
O 16.00 O.upf
Ca 40.08 Ca.upf
Rh 102.91 Rh.upf
Ac 227.00 Ac.upf
ATOMIC_POSITIONS angstrom
O -3.142 2.378 1.384
O -7.977 1.628 -0.814
O -9.252 3.996 0.777
O -5.199 3.818 -0.037
O -3.967 -1.631 -1.019
O -7.152 5.637 1.590
O -5.694 1.079 -2.783
O -2.997 2.712 -1.437
O -5.425 2.927 3.354
O -1.867 0.009 -0.207
O -8.122 1.294 2.008
O -5.920 0.187 0.607
Ca -5.420 6.197 -0.973
Ca -5.699 -2.191 1.543
Ca -4.204 0.674 -1.034
Ca -6.916 3.332 1.604
Rh -2.380 -1.930 0.123
Rh -3.179 3.932 0.162
Ac -4.430 0.755 2.561
Ac -1.129 1.248 -2.275
CELL_PARAMETERS angstrom
-2.258 2.496 -4.550
-4.761 -3.859 0.246
-4.100 5.368 4.875
```

Summary:
Its space group is P2_1/c, No. 14. As for the calculated total energy: -6.7026 eV/atom.

[6]
Density functional theory data (PBE) for a relaxed CsCaSiN2 crystal. Values from VASP.

Geometry as Quantum ESPRESSO input:
```
&SYSTEM
  ibrav = 0, nat = 5, ntyp = 4
/
ATOMIC_SPECIES
N 14.01 N.upf
Cs 132.91 Cs.upf
Ca 40.08 Ca.upf
Si 28.09 Si.upf
ATOMIC_POSITIONS angstrom
N -1.132 -0.263 1.657
N -1.630 0.645 -1.011
Cs -0.509 -2.437 -0.734
Ca -3.270 -2.054 -0.089
Si 0.000 0.000 0.000
CELL_PARAMETERS angstrom
-3.259 1.290 -2.022
-1.018 -4.873 -1.469
-2.264 -0.526 3.313
```

Summary:
Its space group is P4/mmm, No. 123. As for the calculated total energy: -3.6577 eV/atom.

- calculated total energy of number 6 (CsCaSiN2)?
  -3.6577 eV/atom